[1]
6
Lattice="0.000 4.626 4.626 4.626 0.000 4.626 4.626 4.626 0.000" Properties=species:S:1:pos:R:3 comment="La4ScTe | the Alexandria database | GGA-PBE | optimized geometry" raw_formation_energy_ev_per_atom=0.1024 spacegroup="F-43m (216)" vol_a3_per_cell=198 pbc="T T T"
La 1.135 1.135 1.135
La 3.492 3.492 1.135
La 3.492 1.135 3.492
La 1.135 3.492 3.492
Sc 6.939 6.939 6.939
Te 4.626 4.626 4.626



[2]
4
Lattice="3.809 0.000 0.000 0.000 3.809 0.000 0.000 0.000 8.954" Properties=species:S:1:pos:R:3 comment="Sm2EuCd | the Alexandria database | GGA-PBE | optimized geometry" delta_e_f_ev_per_atom=-0.10 spacegroup="P4/mmm (123)" vol_a3_per_cell=130 e_above_lowest_polymorph_mev_per_atom=0 pbc="T T T"
Sm 0.000 0.000 1.870
Sm 0.000 0.000 7.084
Eu 1.904 1.904 4.477
Cd 1.904 1.904 0.000



[3]
7
Lattice="1.839 1.062 20.949 -1.839 1.062 20.949 0.000 -2.123 20.949" Properties=species:S:1:pos:R:3 comment="LaPm4Nd2 | the Alexandria database | GGA-PBE | optimized geometry" delta_e_f_ev_per_atom=0.01 spacegroup="R-3m (166)" vol_a3_per_cell=245 e_above_lowest_polymorph_mev_per_atom=0 pbc="T T T"
La 0.000 0.000 0.000
Pm 0.000 0.000 8.991
Pm 0.000 0.000 17.923
Pm 0.000 0.000 44.924
Pm 0.000 0.000 53.856
Nd 0.000 0.000 26.954
Nd 0.000 0.000 35.893